No. 1
# PBE AlSbBr4, relaxed
data_AlSbBr4
_chemical_formula_sum 'Al4 Sb4 Br16'
_cell_length_a 8.9800
_cell_length_b 8.9800
_cell_length_c 8.9800
_cell_angle_alpha 90.00
_cell_angle_beta 90.00
_cell_angle_gamma 90.00
_space_group_name_H-M_alt 'F -4 3 m'
_space_group_IT_number 216
_space_group_name_Hall 'F -4 2 3'
loop_
_atom_site_label
_atom_site_type_symbol
_atom_site_fract_x
_atom_site_fract_y
_atom_site_fract_z
Al1 Al 0.0000 0.0000 0.0000
Sb1 Sb 0.2500 0.2500 0.2500
Br1 Br 0.1246 0.1246 0.6246
# Total magnetization, μB per cell: 4.70
# Formation energy from raw total energies, meV per atom: 652
# V, A^3/atom: 30.173

No. 2
# PBE Al24Zn5, relaxed
data_Al24Zn5
_chemical_formula_sum 'Al48 Zn10'
_cell_length_a 9.9706
_cell_length_b 9.9706
_cell_length_c 9.9706
_cell_angle_alpha 90.00
_cell_angle_beta 90.00
_cell_angle_gamma 90.00
_space_group_name_H-M_alt 'I -4 3 m'
_space_group_IT_number 217
_space_group_name_Hall 'I -4 2 3'
loop_
_atom_site_label
_atom_site_type_symbol
_atom_site_fract_x
_atom_site_fract_y
_atom_site_fract_z
Al1 Al 0.0549 0.3617 0.3617
Al2 Al 0.0955 0.0955 0.2869
Zn1 Zn 0.0000 0.0000 0.0000
Zn2 Zn 0.1599 0.1599 0.8401
# Formation enthalpy at 0 K, eV/atom: 0.08
# Total magnetization, μB per cell: 0.00
# V, A^3/atom: 17.090

No. 3
# PBE Nb2NiIr9, relaxed
data_Nb2NiIr9
_chemical_formula_sum 'Nb2 Ni1 Ir9'
_cell_length_a 3.8994
_cell_length_b 3.8994
_cell_length_c 11.6531
_cell_angle_alpha 90.00
_cell_angle_beta 90.00
_cell_angle_gamma 90.00
_space_group_name_H-M_alt 'P 4/m m m'
_space_group_IT_number 123
_space_group_name_Hall '-P 4 2'
loop_
_atom_site_label
_atom_site_type_symbol
_atom_site_fract_x
_atom_site_fract_y
_atom_site_fract_z
Nb1 Nb 0.0000 0.0000 0.1728
Ni1 Ni 0.0000 0.0000 0.5000
Ir1 Ir 0.0000 0.5000 0.0000
Ir2 Ir 0.0000 0.5000 0.3370
Ir3 Ir 0.5000 0.5000 0.1682
Ir4 Ir 0.5000 0.5000 0.5000
# Formation enthalpy at 0 K, eV/atom: -0.36
# Total magnetization, μB per cell: 0.00
# V, A^3/atom: 14.766

No. 4
# PBE NaTaBe3, relaxed
data_NaTaBe3
_chemical_formula_sum 'Na1 Ta1 Be3'
_cell_length_a 4.7165
_cell_length_b 4.7165
_cell_length_c 4.7165
_cell_angle_alpha 90.00
_cell_angle_beta 90.00
_cell_angle_gamma 90.00
_space_group_name_H-M_alt 'P m -3 m'
_space_group_IT_number 221
_space_group_name_Hall '-P 4 2 3'
loop_
_atom_site_label
_atom_site_type_symbol
_atom_site_fract_x
_atom_site_fract_y
_atom_site_fract_z
Na1 Na 0.0000 0.0000 0.0000
Ta1 Ta 0.5000 0.5000 0.5000
Be1 Be 0.0000 0.5000 0.5000
# Relative energy among the computed polymorphs, eV/atom: 0.000
# Formation enthalpy at 0 K, eV/atom: 1.43
# Total magnetization, μB per cell: 1.02
# V, A^3/atom: 20.984